Below is an optimized crystal structure of PrTm7Sc2, with properties calculated at the GGA-PBE level.

It has space group Cmmm (No. 65), with a = 8.6878 Å, b = 15.0446 Å, c = 5.5538 Å, α = 90.00°, β = 90.00° and γ = 90.00°. The asymmetric unit holds Pr at (0.0000, 0.0000, 0.0000), Tm at (0.0000, 0.2392, 0.0000), Tm at (0.0000, 0.5000, 0.5000), Tm at (0.1803, 0.1220, 0.5000) and Sc at (0.0000, 0.2964, 0.5000).

Its total magnetization is 0.00 μB/atom. For the density of states at the Fermi level, the calculation gives 29.3 states/eV per cell. The formation energy is 6.740 eV/f.u.